Density functional theory data (GGA-PBE) for a relaxed ThUPa2 crystal.

Density of states at the Fermi level (states/eV/f.u.): 9.9
E (eV/atom): -9.2582
Energy of formation from the pure elements (eV/atom): 0.1668

a b c (Å): 3.4097 3.4097 8.7522
angles (deg): 90.00 90.00 90.00
With the nearest neighbours (Å) after each atom.
Fractional positions:
Th: 0.0000 0.0000 0.0000  8 Pa 3.41, 4 Th 3.41
U: 0.0000 0.0000 0.5000  8 Pa 3.11, 4 U 3.41
Pa: 0.5000 0.5000 0.2751  4 U 3.11, 4 Th 3.41, 4 Pa 3.41
Pa: 0.5000 0.5000 0.7249  4 U 3.11, 4 Th 3.41, 4 Pa 3.41